# 1
The following is a GGA-PBE calculation of crystalline HoScRh2 at its relaxed geometry, from the Alexandria database.

Cell lengths 3.262, 3.262, 6.878 Å; angles 90.00, 90.00, 90.00 degrees
Fractional positions:
Ho: 0.000 0.000 0.000
Sc: 0.000 0.000 0.500
Rh: 0.500 0.500 0.266
Rh: 0.500 0.500 0.734

* M_tot: 0.0 μB per cell
* DOS at the Fermi energy: 0.39 states/eV/atom
* formation energy from the elements: -942 meV per atom
* DFT total energy: -7.35 eV/atom

---

# 2
The following is a GGA-PBE calculation of crystalline HoSc2Rh9 at its relaxed geometry, from the Alexandria database.

Cell lengths 9.152, 9.152, 9.152 Å; angles 32.90, 32.90, 32.90 degrees
Fractional positions:
Ho: 0.000 0.000 0.000
Sc: 0.140 0.140 0.140
Sc: 0.860 0.860 0.860
Rh: 0.082 0.586 0.586
Rh: 0.333 0.333 0.333
Rh: 0.414 0.414 0.918
Rh: 0.414 0.918 0.414
Rh: 0.500 0.500 0.500
Rh: 0.586 0.082 0.586
Rh: 0.586 0.586 0.082
Rh: 0.667 0.667 0.667
Rh: 0.918 0.414 0.414

* M_tot: 0.0 μB per cell
* DOS at the Fermi energy: 1.13 states/eV/atom
* formation energy from the elements: -534 meV per atom
* DFT total energy: -7.48 eV/atom

---

# 3
The following is a GGA-PBE calculation of crystalline HoSc2Rh3 at its relaxed geometry, from the Alexandria database.

Cell lengths 3.284, 3.284, 9.905 Å; angles 90.00, 90.00, 90.00 degrees
Fractional positions:
Ho: 0.000 0.000 0.000
Sc: 0.000 0.000 0.339
Sc: 0.000 0.000 0.661
Rh: 0.500 0.500 0.180
Rh: 0.500 0.500 0.500
Rh: 0.500 0.500 0.820

* M_tot: 0.0 μB per cell
* DOS at the Fermi energy: 0.46 states/eV/atom
* formation energy from the elements: -966 meV per atom
* DFT total energy: -7.51 eV/atom

---

# 4
The following is a GGA-PBE calculation of crystalline Ho2ScRh3 at its relaxed geometry, from the Alexandria database.

Cell lengths 7.466, 7.466, 3.381 Å; angles 90.00, 90.00, 143.13 degrees
Fractional positions:
Ho: 0.165 0.835 0.000
Ho: 0.835 0.165 0.000
Sc: 0.500 0.500 0.000
Rh: 0.000 0.000 0.500
Rh: 0.339 0.661 0.500
Rh: 0.661 0.339 0.500

* M_tot: 0.0 μB per cell
* DOS at the Fermi energy: 0.51 states/eV/atom
* formation energy from the elements: -926 meV per atom
* DFT total energy: -7.18 eV/atom

---

# 5
The following is a GGA-PBE calculation of crystalline HoSc2Rh at its relaxed geometry, from the Alexandria database.

Cell lengths 6.004, 6.004, 8.748 Å; angles 90.00, 90.00, 144.56 degrees
Fractional positions:
Ho: 0.067 0.933 0.750
Ho: 0.933 0.067 0.250
Sc: 0.359 0.641 0.564
Sc: 0.359 0.641 0.936
Sc: 0.641 0.359 0.064
Sc: 0.641 0.359 0.436
Rh: 0.242 0.758 0.250
Rh: 0.758 0.242 0.750

* M_tot: 0.0 μB per cell
* DOS at the Fermi energy: 1.48 states/eV/atom
* formation energy from the elements: -515 meV per atom
* DFT total energy: -6.66 eV/atom

---

# 6
The following is a GGA-PBE calculation of crystalline Ho5ScRh6 at its relaxed geometry, from the Alexandria database.

Cell lengths 7.542, 7.542, 6.810 Å; angles 90.00, 90.00, 143.21 degrees
Fractional positions:
Ho: 0.000 0.000 0.000
Ho: 0.334 0.666 0.000
Ho: 0.335 0.665 0.500
Ho: 0.665 0.335 0.500
Ho: 0.666 0.334 0.000
Sc: 0.000 0.000 0.500
Rh: 0.164 0.836 0.254
Rh: 0.164 0.836 0.746
Rh: 0.500 0.500 0.257
Rh: 0.500 0.500 0.743
Rh: 0.836 0.164 0.254
Rh: 0.836 0.164 0.746

* M_tot: 0.0 μB per cell
* DOS at the Fermi energy: 0.54 states/eV/atom
* formation energy from the elements: -913 meV per atom
* DFT total energy: -7.02 eV/atom

---

# 7
The following is a GGA-PBE calculation of crystalline HoSc2Rh at its relaxed geometry, from the Alexandria database.

Cell lengths 3.296, 3.296, 8.164 Å; angles 90.00, 90.00, 90.00 degrees
Fractional positions:
Ho: 0.000 0.000 0.000
Sc: 0.500 0.500 0.309
Sc: 0.500 0.500 0.691
Rh: 0.000 0.000 0.500

* M_tot: 0.0 μB per cell
* DOS at the Fermi energy: 1.23 states/eV/atom
* formation energy from the elements: -454 meV per atom
* DFT total energy: -6.60 eV/atom

---

# 8
The following is a GGA-PBE calculation of crystalline Ho3ScRh2 at its relaxed geometry, from the Alexandria database.

Cell lengths 8.183, 8.183, 8.183 Å; angles 132.77, 71.89, 129.17 degrees
Fractional positions:
Ho: 0.023 0.750 0.273
Ho: 0.250 0.250 0.000
Ho: 0.477 0.750 0.727
Ho: 0.523 0.250 0.273
Ho: 0.750 0.750 0.000
Ho: 0.977 0.250 0.727
Sc: 0.000 0.500 0.500
Sc: 0.500 0.000 0.500
Rh: 0.135 0.216 0.352
Rh: 0.365 0.716 0.081
Rh: 0.635 0.284 0.919
Rh: 0.865 0.784 0.648

* M_tot: 0.0 μB per cell
* DOS at the Fermi energy: 0.85 states/eV/atom
* formation energy from the elements: -586 meV per atom
* DFT total energy: -6.38 eV/atom

---

- Among the records above, which one has the highest DOS at the Fermi energy?
  number 5